(1)
A relaxed structure of ZnPtCl2, computed with PBE.

Its energy above the lowest structure with this stoichiometry is 0.539 eV per atom. The uncorrected formation energy comes out at 0.5 eV per formula unit. The total energy is -10.5 eV per formula unit.

The space group is Cmmm (No. 65) and the conventional cell measures 3.232, 6.130 and 7.811 Å, with angles of 90.00, 90.00 and 90.00 degrees. The inequivalent atoms are Zn at (0.000, 0.000, 0.000), Pt at (0.000, 0.000, 0.500) and Cl at (0.000, 0.500, 0.235).

***

(2)
A relaxed structure of K2Cd5In5, computed with PBE.

The total energy is -21.2 eV per formula unit. The calculation puts the formation energy at -0.70 eV/f.u.

The space group is Pmmm (No. 47) and the conventional cell measures 4.975, 6.410 and 10.901 Å, with angles of 90.00, 90.00 and 90.00 degrees. The inequivalent atoms are K at (0.000, 0.000, 0.000), K at (0.000, 0.500, 0.500), Cd at (0.000, 0.000, 0.333), Cd at (0.000, 0.500, 0.162), Cd at (0.500, 0.500, 0.000), In at (0.500, 0.000, 0.500) and In at (0.500, 0.251, 0.247).

***

(3)
A relaxed structure of Sc2NbMo, computed with PBE.

Its energy above the lowest structure with this stoichiometry is 0.000 eV per atom. The total energy is -32.2 eV per formula unit. The calculation puts the formation energy at 1.41 eV/f.u.

The space group is Fm-3m (No. 225) and the conventional cell measures 6.736, 6.736 and 6.736 Å, with angles of 90.00, 90.00 and 90.00 degrees. The inequivalent atoms are Sc at (0.250, 0.250, 0.250), Nb at (0.000, 0.000, 0.000) and Mo at (0.000, 0.000, 0.500).

***

(4)
A relaxed structure of SbMoWI2, computed with PBE.

Its energy above the lowest structure with this stoichiometry is 0.000 eV per atom. The uncorrected formation energy comes out at 7.5 eV per formula unit. The total energy is -23.5 eV per formula unit.

The space group is P4/mmm (No. 123) and the conventional cell measures 5.582, 5.582 and 5.267 Å, with angles of 90.00, 90.00 and 90.00 degrees. The inequivalent atoms are Sb at (0.000, 0.000, 0.000), Mo at (0.500, 0.500, 0.000), W at (0.000, 0.000, 0.500) and I at (0.000, 0.500, 0.500).

***

(5)
A relaxed structure of InAgS2, computed with PBE.

The uncorrected formation energy comes out at -1.3 eV per formula unit. The total energy is -15.2 eV per formula unit.

The space group is P3m1 (No. 156) and the conventional cell measures 4.1631, 4.1631 and 6.8130 Å, with angles of 90.00, 90.00 and 120.00 degrees. The inequivalent atoms are In at (0.0000, 0.0000, 0.0000), Ag at (0.6667, 0.3333, 0.4545), S at (0.0000, 0.0000, 0.3543) and S at (0.6667, 0.3333, 0.8474).

***

(6)
A relaxed structure of Ce4Tl3Hg4, computed with PBE.

Its energy above the lowest structure with this stoichiometry is 0.036 eV per atom. The total energy is -33.0 eV per formula unit. The calculation puts the formation energy at -0.95 eV/f.u.

The space group is Immm (No. 71) and the conventional cell measures 3.786, 8.421 and 19.734 Å, with angles of 90.00, 90.00 and 90.00 degrees. The inequivalent atoms are Ce at (0.000, 0.165, 0.143), Tl at (0.000, 0.000, 0.382), Tl at (0.000, 0.500, 0.500), Hg at (0.000, 0.324, 0.000) and Hg at (0.000, 0.500, 0.243).